(1)
VASP calculation (PBE) on SnPt4Pb after structural relaxation.

The structure belongs to space group F-43m (No. 216); the cell edges are 7.717, 7.717 and 7.717 Å and the angles 90.00°, 90.00° and 90.00°. Symmetry generates all atoms from Sn at (0.000, 0.000, 0.000), Pt at (0.125, 0.125, 0.375) and Pb at (0.250, 0.250, 0.750).

Its formation energy is -0.1879 eV/atom.

(2)
VASP calculation (PBE) on Sr2SnPtPb after structural relaxation.

The structure belongs to space group P4/mmm (No. 123); the cell edges are 5.855, 5.855 and 5.076 Å and the angles 90.00°, 90.00° and 90.00°. Symmetry generates all atoms from Sr at (0.000, 0.500, 0.000), Sn at (0.000, 0.000, 0.500), Pt at (0.000, 0.000, 0.000) and Pb at (0.500, 0.500, 0.500).

Its formation energy is -0.5481 eV/atom.

(3)
VASP calculation (PBE) on Sr2SnPt4Pb3 after structural relaxation.

The structure belongs to space group P-4m2 (No. 115); the cell edges are 4.862, 4.862 and 10.748 Å and the angles 90.00°, 90.00° and 90.00°. Symmetry generates all atoms from Sr at (0.000, 0.500, 0.239), Sn at (0.000, 0.000, 0.500), Pt at (0.000, 0.000, 0.000), Pt at (0.000, 0.500, 0.622), Pt at (0.500, 0.500, 0.000), Pb at (0.000, 0.500, 0.877) and Pb at (0.500, 0.500, 0.500).

Its formation energy is -0.5501 eV/atom.

Raw total energy for the records above, in order: -132.0, -19.9, -48.2 eV per cell